No. 1
A relaxed structure of Cs3Pu2TlBr9. Source: Alexandria via LeMat-Bulk, functional PBE.

abc: 8.484 8.484 10.503
angles: 90.00 90.00 120.00
Sites, in units of the cell vectors:
Cs  0.333  0.667  0.638
Cs  0.000  0.000  0.000
Cs  0.667  0.333  0.362
Pu  0.333  0.667  0.159
Pu  0.667  0.333  0.841
Tl  0.000  0.000  0.500
Br  0.827  0.173  0.683
Br  0.827  0.653  0.683
Br  0.347  0.173  0.683
Br  0.653  0.827  0.317
Br  0.173  0.347  0.317
Br  0.173  0.827  0.317
Br  0.500  0.000  0.000
Br  0.000  0.500  0.000
Br  0.500  0.500  0.000

Computed properties:
crystal system = trigonal
E_form (uncorrected) = -1.558 eV/atom

***

No. 2
A relaxed structure of YInGa2Ni5. Source: Alexandria via LeMat-Bulk, functional PBE.

abc: 4.323 4.323 7.508
angles: 90.00 90.00 90.00
Sites, in units of the cell vectors:
Y  0.000  0.000  0.500
In  0.000  0.000  0.000
Ga  0.500  0.500  0.164
Ga  0.500  0.500  0.836
Ni  0.000  0.500  0.278
Ni  0.500  0.000  0.278
Ni  0.000  0.500  0.722
Ni  0.500  0.000  0.722
Ni  0.500  0.500  0.500

Computed properties:
crystal system = tetragonal
formation enthalpy at 0 K = -11.2 kJ/mol of atoms

***

No. 3
A relaxed structure of PtSe2Cl. Source: Alexandria via LeMat-Bulk, functional PBE.

abc: 7.942 7.942 7.942
angles: 28.29 28.29 28.29
Sites, in units of the cell vectors:
Se  0.888  0.888  0.888
Se  0.112  0.112  0.112
Pt  0.500  0.500  0.500
Cl  0.000  0.000  0.000

Computed properties:
excess energy over the best structure of this formula in the dataset = 42.9 meV/atom
crystal system = trigonal
E_form (uncorrected) = -0.302 eV/atom

***

No. 4
A relaxed structure of AlSiRu2. Source: Alexandria via LeMat-Bulk, functional PBE.

abc: 2.834 2.834 7.856
angles: 90.00 90.00 117.34
Sites, in units of the cell vectors:
Ru  0.000  0.000  0.014
Ru  0.000  0.000  0.486
Si  0.500  0.500  0.250
Al  0.500  0.500  0.750

Computed properties:
excess energy over the best structure of this formula in the dataset = 413.0 meV/atom
crystal system = orthorhombic
E_form (uncorrected) = -0.302 eV/atom

***

No. 5
A relaxed structure of Sm2Al2GaRh5. Source: Alexandria via LeMat-Bulk, functional PBE.

abc: 3.408 10.020 10.020
angles: 90.00 90.00 90.00
Sites, in units of the cell vectors:
Sm  0.000  0.674  0.174
Sm  0.000  0.326  0.826
Sm  0.000  0.174  0.326
Sm  0.000  0.826  0.674
Al  0.000  0.125  0.625
Al  0.000  0.875  0.375
Al  0.000  0.625  0.875
Al  0.000  0.375  0.125
Ga  0.000  0.000  0.000
Ga  0.000  0.500  0.500
Rh  0.500  0.203  0.064
Rh  0.500  0.797  0.936
Rh  0.500  0.064  0.797
Rh  0.500  0.703  0.436
Rh  0.500  0.936  0.203
Rh  0.500  0.297  0.564
Rh  0.500  0.564  0.703
Rh  0.500  0.436  0.297
Rh  0.500  0.500  0.000
Rh  0.500  0.000  0.500

Computed properties:
crystal system = tetragonal
formation enthalpy at 0 K = -77.1 kJ/mol of atoms

***

No. 6
A relaxed structure of Y2CuIr3. Source: Alexandria via LeMat-Bulk, functional PBE.

abc: 5.440 5.440 5.214
angles: 89.98 121.43 120.03
Sites, in units of the cell vectors:
Y  0.748  0.374  0.122
Y  0.252  0.626  0.878
Cu  0.000  0.000  0.000
Ir  0.500  0.500  0.500
Ir  0.000  0.000  0.500
Ir  0.500  0.000  0.500

Computed properties:
crystal system = trigonal
formation enthalpy at 0 K = -63.6 kJ/mol of atoms

***

No. 7
A relaxed structure of Tb2Re3W. Source: Alexandria via LeMat-Bulk, functional PBE.

abc: 5.451 5.451 5.464
angles: 90.13 119.94 119.84
Sites, in units of the cell vectors:
Tb  0.751  0.376  0.127
Tb  0.249  0.624  0.873
Re  0.500  0.500  0.500
Re  0.000  0.000  0.500
Re  0.500  0.000  0.500
W  0.000  0.000  0.000

Computed properties:
crystal system = monoclinic
formation enthalpy at 0 K = -12.3 kJ/mol of atoms

***

No. 8
A relaxed structure of BeTcRu4. Source: Alexandria via LeMat-Bulk, functional PBE.

abc: 5.001 5.001 5.001
angles: 60.00 60.00 60.00
Sites, in units of the cell vectors:
Be  0.000  0.000  0.000
Tc  0.250  0.250  0.250
Ru  0.625  0.625  0.124
Ru  0.625  0.124  0.625
Ru  0.625  0.625  0.625
Ru  0.124  0.625  0.625

Computed properties:
crystal system = cubic
formation enthalpy at 0 K = 59.1 kJ/mol of atoms

***

For reference, final energy by record: -72.02, -45.21, -16.06, -28.93, -129.39, -47.56, -60.32, -47.52 eV for the cell shown.